1.
Compound: TcBi2
Source: OQMD
Functional: PBE
Structure: relaxed

Cell: 4.143 5.661 6.983 Å, 98.97 107.26 90.00°
Positions (direct):
Bi (0.573, 0.800, 0.146)
Bi (0.156, 0.352, 0.311)
Bi (0.844, 0.648, 0.689)
Bi (0.427, 0.200, 0.854)
Tc (0.230, 0.876, 0.459)
Tc (0.770, 0.124, 0.541)

Summary:
For the energy above the most stable polymorph in this dataset, the calculation gives 0.000 eV per atom.

2.
Compound: DyInAu
Source: OQMD
Functional: PBE
Structure: relaxed

Cell: 7.742 7.742 3.983 Å, 90.00 90.00 120.00°
Positions (direct):
Au (0.667, 0.333, 0.000)
Au (0.333, 0.667, 0.000)
Au (0.000, 0.000, 0.500)
Dy (0.595, 0.000, 0.500)
Dy (0.405, 0.405, 0.500)
Dy (0.000, 0.595, 0.500)
In (0.262, 0.000, 0.000)
In (0.000, 0.262, 0.000)
In (0.738, 0.738, 0.000)

Summary:
The value obtained for the energy is -4.28 eV per atom.

3.
Compound: MgNiSb
Source: OQMD
Functional: PBE
Structure: relaxed

Cell: 6.636 6.636 4.272 Å, 90.00 90.00 120.00°
Positions (direct):
Mg (0.550, 0.000, 0.000)
Mg (0.450, 0.450, 0.000)
Mg (0.000, 0.550, 0.000)
Ni (0.233, 0.000, 0.500)
Ni (0.000, 0.233, 0.500)
Ni (0.767, 0.767, 0.500)
Sb (0.000, 0.000, 0.000)
Sb (0.667, 0.333, 0.500)
Sb (0.333, 0.667, 0.500)

Summary:
The value obtained for the energy is -3.99 eV per atom.

4.
Compound: ZrCuBr3Cl
Source: OQMD
Functional: PBE
Structure: relaxed

Cell: 6.099 6.131 6.952 Å, 115.90 114.96 90.26°
Last column: magnetic moment on the atom in μB.
Positions (direct):
Br (0.849, 0.864, 0.232)  0.00
Br (0.386, 0.365, 0.233)  0.00
Br (0.135, 0.609, 0.765)  0.00
Cl (0.634, 0.171, 0.770)  0.00
Cu (0.501, 0.496, 0.995)  0.02
Zr (0.745, 0.246, 0.505)  0.69

Summary:
The value obtained for the energy is -4.06 eV per atom.